The following is a PBE calculation of an optimized crystal structure of Tm3PPb2, from Alexandria.

Unit cell a=7.0282 b=8.0210 c=6.9511 alpha=81.71 beta=59.63 gamma=73.42
Fractional positions:
Tm 0.5650 0.2157 0.3610
Tm 0.7041 0.7984 0.0000
Tm 0.4350 0.7843 0.6390
Tm 0.0740 0.7843 0.3610
Tm 0.9260 0.2157 0.6390
Tm 0.2959 0.2016 0.0000
P 0.3296 0.0000 0.3408
P 0.6704 0.0000 0.6592
Pb 0.0000 0.0000 0.0000
Pb 0.5000 0.5000 0.0000
Pb 0.8567 0.5000 0.2867
Pb 0.1433 0.5000 0.7133

Summary:
The formation enthalpy at 0 K comes out at -0.756 eV per atom. The value obtained for the total energy is -61.6 eV/cell. The value obtained for the density of states at the Fermi level is 0.42 states/eV/atom.


The following is a PBE calculation of an optimized crystal structure of SrMgCd3, from Alexandria.

Unit cell a=6.2664 b=7.1600 c=7.1595 alpha=120.00 beta=90.00 gamma=90.00
Fractional positions:
Sr 0.7499 0.6667 0.3334
Sr 0.2501 0.3333 0.6666
Mg 0.0000 0.0000 0.0000
Mg 0.5000 0.0000 0.0000
Cd 0.7500 0.6088 0.8044
Cd 0.2500 0.8044 0.6088
Cd 0.2500 0.3912 0.1956
Cd 0.7500 0.1956 0.3912
Cd 0.2500 0.8043 0.1956
Cd 0.7500 0.1957 0.8044

Summary:
The formation enthalpy at 0 K comes out at -0.180 eV per atom. The value obtained for the total energy is -13.8 eV/cell. The value obtained for the density of states at the Fermi level is 0.45 states/eV/atom.


The following is a PBE calculation of an optimized crystal structure of LiCaPb, from Alexandria.

Unit cell a=5.5726 b=5.5726 c=5.5726 alpha=141.30 beta=130.31 gamma=64.69
Fractional positions:
Ca 0.0049 0.0049 0.0000
Li 0.3281 0.3281 0.0000
Pb 0.6670 0.6670 0.0000

Summary:
The formation enthalpy at 0 K comes out at -0.343 eV per atom. The value obtained for the total energy is -8.7 eV/cell. The value obtained for the density of states at the Fermi level is 0.30 states/eV/atom.


The following is a PBE calculation of an optimized crystal structure of Tb8PrCd6, from Alexandria.

Unit cell a=9.0583 b=9.0583 c=8.2569 alpha=56.73 beta=56.73 gamma=60.00
Each line ends with the local moment (μB).
Fractional positions:
Tb 0.5547 0.2144 0.3499  0.12
Tb 0.7856 0.1190 0.6501  0.12
Tb 0.1190 0.4453 0.6501  0.12
Tb 0.6678 0.6678 0.9965  0.05
Tb 0.3322 0.3322 0.0035  0.05
Tb 0.8810 0.5547 0.3499  0.12
Tb 0.2144 0.8810 0.3499  0.12
Tb 0.4453 0.7856 0.6501  0.12
Pr 0.0000 0.0000 0.0000  0.12
Cd 0.3920 0.0523 0.8440  0.00
Cd 0.9477 0.2882 0.1560  0.00
Cd 0.2882 0.6080 0.1560  0.00
Cd 0.7118 0.3920 0.8440  0.00
Cd 0.0523 0.7118 0.8440  0.00
Cd 0.6080 0.9477 0.1560  0.00

Summary:
The formation enthalpy at 0 K comes out at -0.070 eV per atom. The value obtained for the total energy is -48.4 eV/cell. The value obtained for the density of states at the Fermi level is 1.22 states/eV/atom.


The following is a PBE calculation of an optimized crystal structure of Sr2Zn6PdRh, from Alexandria.

Unit cell a=6.8696 b=6.8734 c=6.8789 alpha=60.04 beta=60.05 gamma=90.03
Fractional positions:
Sr 0.7500 0.2502 0.4998
Sr 0.2500 0.7498 0.5002
Zn 0.2513 0.2513 0.4973
Zn 0.7488 0.7488 0.9998
Zn 0.2514 0.7488 0.0000
Zn 0.7486 0.2512 0.0000
Zn 0.2512 0.2512 0.0002
Zn 0.7487 0.7487 0.5027
Pd 0.0000 0.0000 0.0000
Rh 0.5000 0.5000 0.0000

Summary:
The formation enthalpy at 0 K comes out at -0.296 eV per atom. The value obtained for the total energy is -26.5 eV/cell. The value obtained for the density of states at the Fermi level is 0.49 states/eV/atom.


The following is a PBE calculation of an optimized crystal structure of Al2ZnRh, from Alexandria.

Unit cell a=8.4162 b=8.4162 c=8.4162 alpha=19.87 beta=19.87 gamma=19.87
Fractional positions:
Zn 0.7500 0.7500 0.7500
Rh 0.2500 0.2500 0.2500
Al 0.9952 0.9952 0.9952
Al 0.5048 0.5048 0.5048

Summary:
The formation enthalpy at 0 K comes out at -0.400 eV per atom. The value obtained for the total energy is -17.7 eV/cell. The value obtained for the density of states at the Fermi level is 0.12 states/eV/atom.


The following is a PBE calculation of an optimized crystal structure of Na3Ce2NdSe6, from Alexandria.

Unit cell a=7.4430 b=7.4430 c=7.4041 alpha=99.64 beta=99.64 gamma=120.00
Each line ends with the local moment (μB).
Fractional positions:
Na 0.1661 0.8339 0.5000  0.00
Na 0.8339 0.1661 0.5000  0.00
Na 0.5000 0.5000 0.5000  0.00
Ce 0.3333 0.6667 0.0000  0.95
Ce 0.6667 0.3333 0.0000  0.95
Nd 0.0000 0.0000 0.0000  0.02
Se 0.9212 0.5877 0.7639  -0.01
Se 0.7451 0.7451 0.2361  -0.01
Se 0.0788 0.4123 0.2361  -0.01
Se 0.5877 0.9212 0.7639  -0.01
Se 0.2549 0.2549 0.7639  -0.01
Se 0.4123 0.0788 0.2361  -0.01

Summary:
The value obtained for the total energy is -61.2 eV/cell. The value obtained for the density of states at the Fermi level is 1.02 states/eV/atom.


The following is a PBE calculation of an optimized crystal structure of NdSm2Mg, from Alexandria.

Unit cell a=3.5132 b=3.5132 c=12.7181 alpha=82.06 beta=82.06 gamma=60.00
Fractional positions:
Mg 0.0000 0.0000 0.0000
Nd 0.5000 0.5000 0.5000
Sm 0.0883 0.0883 0.7350
Sm 0.9117 0.9117 0.2650

Summary:
The formation enthalpy at 0 K comes out at 0.205 eV per atom. The value obtained for the total energy is -15.0 eV/cell. The value obtained for the density of states at the Fermi level is 1.14 states/eV/atom.


The following is a PBE calculation of an optimized crystal structure of LaReHRh, from Alexandria.

Unit cell a=4.0541 b=2.8823 c=11.0126 alpha=90.00 beta=90.00 gamma=90.00
Fractional positions:
La 0.0000 0.5000 0.8476
La 0.5000 0.0000 0.3476
Re 0.0000 0.5000 0.5663
Re 0.5000 0.0000 0.0663
H 0.0000 0.0000 0.4631
H 0.5000 0.5000 0.9631
Rh 0.0000 0.5000 0.1477
Rh 0.5000 0.0000 0.6477

Summary:
The value obtained for the total energy is -56.3 eV/cell. The value obtained for the density of states at the Fermi level is 0.60 states/eV/atom.


The following is a PBE calculation of an optimized crystal structure of Ta2GeOsCl, from Alexandria.

Unit cell a=4.5248 b=4.3734 c=4.5248 alpha=90.00 beta=90.00 gamma=90.00
Fractional positions:
Ge 0.5000 0.5000 0.5000
Cl 0.0000 0.0000 0.0000
Os 0.0000 0.5000 0.0000
Ta 0.0000 0.0000 0.5000
Ta 0.5000 0.0000 0.0000

Summary:
The value obtained for the total energy is -35.6 eV/cell. The value obtained for the density of states at the Fermi level is 0.76 states/eV/atom.


The following is a PBE calculation of an optimized crystal structure of MgSbMo, from Alexandria.

Unit cell a=5.2928 b=5.2928 c=5.2928 alpha=141.65 beta=141.65 gamma=55.36
Each line ends with the local moment (μB).
Fractional positions:
Mg 0.9961 0.9961 0.0000  0.00
Mo 0.3243 0.3243 0.0000  0.11
Sb 0.6796 0.6796 0.0000  0.00

Summary:
The value obtained for the total energy is -16.3 eV/cell. The value obtained for the density of states at the Fermi level is 1.04 states/eV/atom.


The following is a PBE calculation of an optimized crystal structure of NiIBr2, from Alexandria.

Unit cell a=5.2220 b=5.2220 c=5.2220 alpha=60.00 beta=60.00 gamma=60.00
Fractional positions:
I 0.5000 0.5000 0.5000
Ni 0.0000 0.0000 0.0000
Br 0.2500 0.2500 0.2500
Br 0.7500 0.7500 0.7500

Summary:
The value obtained for the total energy is -7.3 eV/cell. The value obtained for the density of states at the Fermi level is 1.45 states/eV/atom.


The following is a PBE calculation of an optimized crystal structure of Pm2Al4Ir3Ru, from Alexandria.

Unit cell a=4.3490 b=4.3490 c=9.8666 alpha=90.00 beta=90.00 gamma=90.00
Fractional positions:
Pm 0.5000 0.0000 0.2684
Pm 0.0000 0.5000 0.7316
Al 0.5000 0.5000 0.0000
Al 0.0000 0.0000 0.0000
Al 0.5000 0.0000 0.6189
Al 0.0000 0.5000 0.3811
Ir 0.0000 0.0000 0.5000
Ir 0.5000 0.0000 0.8707
Ir 0.0000 0.5000 0.1293
Ru 0.5000 0.5000 0.5000

Summary:
The formation enthalpy at 0 K comes out at -0.801 eV per atom. The value obtained for the total energy is -68.3 eV/cell. The value obtained for the density of states at the Fermi level is 0.44 states/eV/atom.


The following is a PBE calculation of an optimized crystal structure of Y8Tc2Ag, from Alexandria.

Unit cell a=5.6661 b=7.7714 c=7.7713 alpha=111.63 beta=98.73 gamma=98.73
Fractional positions:
Y 0.5868 0.3367 0.0714
Y 0.5868 0.0714 0.3367
Y 0.1940 0.3825 0.3825
Y 0.9965 0.2394 0.7675
Y 0.9965 0.7675 0.2394
Y 0.7984 0.6219 0.6219
Y 0.4066 0.9355 0.6708
Y 0.4066 0.6708 0.9355
Tc 0.4961 0.6904 0.3165
Tc 0.4961 0.3165 0.6904
Ag 0.0351 0.0014 0.0014

Summary:
The formation enthalpy at 0 K comes out at -0.038 eV per atom. The value obtained for the total energy is -75.7 eV/cell. The value obtained for the density of states at the Fermi level is 1.04 states/eV/atom.


The following is a PBE calculation of an optimized crystal structure of TlZn3B, from Alexandria.

Unit cell a=5.1676 b=5.1676 c=5.1676 alpha=90.00 beta=90.00 gamma=90.00
Each line ends with the local moment (μB).
Fractional positions:
Tl 0.0000 0.0000 0.0000  0.01
B 0.5000 0.5000 0.5000  0.12
Zn 0.0000 0.5000 0.0000  0.01
Zn 0.0000 0.0000 0.5000  0.00
Zn 0.5000 0.0000 0.0000  0.01

Summary:
The formation enthalpy at 0 K comes out at 1.511 eV per atom. The value obtained for the total energy is -5.3 eV/cell. The value obtained for the density of states at the Fermi level is 0.77 states/eV/atom.


The following is a PBE calculation of an optimized crystal structure of CsU2HgCl8, from Alexandria.

Unit cell a=7.7522 b=7.7522 c=8.0497 alpha=90.00 beta=90.00 gamma=120.00
Each line ends with the local moment (μB).
Fractional positions:
Cs 0.0000 0.0000 0.5000  0.00
U 0.6667 0.3333 0.0743  2.48
U 0.3333 0.6667 0.9257  2.48
Hg 0.0000 0.0000 0.0000  0.00
Cl 0.9473 0.5844 0.8380  -0.02
Cl 0.4156 0.3629 0.8380  -0.02
Cl 0.6371 0.0527 0.8380  -0.02
Cl 0.0527 0.4156 0.1620  -0.02
Cl 0.5844 0.6371 0.1620  -0.02
Cl 0.3629 0.9473 0.1620  -0.02
Cl 0.6667 0.3333 0.3972  -0.03
Cl 0.3333 0.6667 0.6028  -0.03

Summary:
The value obtained for the total energy is -57.2 eV/cell. The value obtained for the density of states at the Fermi level is 1.23 states/eV/atom.


The following is a PBE calculation of an optimized crystal structure of Sr2CaTcN4, from Alexandria.

Unit cell a=5.5613 b=6.9861 c=7.7556 alpha=90.00 beta=90.00 gamma=90.00
Each line ends with the local moment (μB).
Fractional positions:
Sr 0.4612 0.3303 0.2546  0.03
Sr 0.4612 0.3303 0.7454  0.03
Sr 0.9612 0.6697 0.7546  0.03
Sr 0.9612 0.6697 0.2454  0.03
Ca 0.9728 0.1435 0.5000  0.03
Ca 0.4728 0.8565 0.0000  0.03
Tc 0.5061 0.8351 0.5000  0.29
Tc 0.0061 0.1649 0.0000  0.29
N 0.3369 0.1598 0.0000  0.02
N 0.8369 0.8402 0.5000  0.02
N 0.4091 0.0907 0.5000  0.01
N 0.9091 0.9093 0.0000  0.01
N 0.4263 0.7053 0.7033  0.00
N 0.9263 0.2947 0.2033  0.00
N 0.9263 0.2947 0.7967  0.00
N 0.4263 0.7053 0.2967  0.00

Summary:
The value obtained for the total energy is -108.7 eV/cell. The value obtained for the density of states at the Fermi level is 0.38 states/eV/atom.


The following is a PBE calculation of an optimized crystal structure of PPtN2O, from Alexandria.

Unit cell a=3.8859 b=3.8859 c=4.0224 alpha=90.00 beta=90.00 gamma=90.00
Fractional positions:
P 0.5000 0.5000 0.5000
O 0.0000 0.0000 0.5000
Pt 0.0000 0.0000 0.0000
N 0.0000 0.5000 0.0000
N 0.5000 0.0000 0.0000

Summary:
The value obtained for the total energy is -25.4 eV/cell. The value obtained for the density of states at the Fermi level is 0.71 states/eV/atom.


The following is a PBE calculation of an optimized crystal structure of NdYSi, from Alexandria.

Unit cell a=4.9447 b=4.9447 c=4.9447 alpha=60.00 beta=60.00 gamma=60.00
Fractional positions:
Y 0.0000 0.0000 0.0000
Si 0.2500 0.2500 0.2500
Nd 0.5000 0.5000 0.5000

Summary:
The value obtained for the total energy is -18.1 eV/cell. The value obtained for the density of states at the Fermi level is 0.79 states/eV/atom.


The following is a PBE calculation of an optimized crystal structure of Pa4AsP5, from Alexandria.

Unit cell a=4.1832 b=7.5732 c=8.9273 alpha=115.20 beta=103.55 gamma=90.00
Fractional positions:
Pa 0.2976 0.7981 0.5951
Pa 0.9996 0.7366 0.9993
Pa 0.7024 0.2019 0.4049
Pa 0.0004 0.2634 0.0007
As 0.5000 0.0000 0.0000
P 0.8270 0.5933 0.6540
P 0.8275 0.0625 0.6550
P 0.1725 0.9375 0.3450
P 0.5000 0.5000 0.0000
P 0.1730 0.4067 0.3460

Summary:
The formation enthalpy at 0 K comes out at -0.866 eV per atom. The value obtained for the total energy is -78.3 eV/cell. The value obtained for the density of states at the Fermi level is 0.95 states/eV/atom.


The following is a PBE calculation of an optimized crystal structure of La4ScZn5, from Alexandria.

Unit cell a=3.6652 b=3.6652 c=18.5628 alpha=90.00 beta=90.00 gamma=90.00
Fractional positions:
La 0.0000 0.0000 0.1873
La 0.0000 0.0000 0.3959
La 0.0000 0.0000 0.6041
La 0.0000 0.0000 0.8127
Sc 0.0000 0.0000 0.0000
Zn 0.5000 0.5000 0.0767
Zn 0.5000 0.5000 0.2928
Zn 0.5000 0.5000 0.5000
Zn 0.5000 0.5000 0.7072
Zn 0.5000 0.5000 0.9233

Summary:
The formation enthalpy at 0 K comes out at -0.299 eV per atom. The value obtained for the total energy is -35.4 eV/cell. The value obtained for the density of states at the Fermi level is 1.25 states/eV/atom.


The following is a PBE calculation of an optimized crystal structure of InHPtRh2, from Alexandria.

Unit cell a=4.9957 b=3.1977 c=4.9957 alpha=90.00 beta=90.00 gamma=90.00
Fractional positions:
H 0.0000 0.5000 0.0000
Rh 0.0000 0.0000 0.5000
Rh 0.5000 0.0000 0.0000
Pt 0.5000 0.5000 0.5000
In 0.0000 0.0000 0.0000

Summary:
The value obtained for the total energy is -22.2 eV/cell. The value obtained for the density of states at the Fermi level is 1.28 states/eV/atom.


The following is a PBE calculation of an optimized crystal structure of ScTcAu2, from Alexandria.

Unit cell a=5.1124 b=5.1124 c=5.1124 alpha=132.89 beta=132.93 gamma=68.80
Each line ends with the local moment (μB).
Fractional positions:
Au 0.0000 0.0000 0.0000  0.05
Au 0.7500 0.2500 0.5000  0.04
Sc 0.5001 0.5001 0.0000  0.05
Tc 0.2500 0.7500 0.5000  1.33

Summary:
The formation enthalpy at 0 K comes out at -0.150 eV per atom. The value obtained for the total energy is -23.9 eV/cell. The value obtained for the density of states at the Fermi level is 1.13 states/eV/atom.


The following is a PBE calculation of an optimized crystal structure of Ge3TeP, from Alexandria.

Unit cell a=5.4044 b=5.4044 c=5.4044 alpha=90.00 beta=90.00 gamma=90.00
Fractional positions:
P 0.5000 0.5000 0.5000
Ge 0.0000 0.5000 0.0000
Ge 0.0000 0.0000 0.5000
Ge 0.5000 0.0000 0.0000
Te 0.0000 0.0000 0.0000

Summary:
The value obtained for the total energy is -16.1 eV/cell. The value obtained for the density of states at the Fermi level is 0.49 states/eV/atom.